No. 1
Material: KMnN
Method: DFT, GGA-PBE
State: relaxed

Its energy above the most stable polymorph in this dataset is 1.02 eV/f.u. The calculation puts the uncorrected formation energy at 0.269 eV/atom. As for the density of states at the Fermi level: 1.3 states/eV/f.u.

The space group is I4mm (No. 107) and the conventional cell measures 2.868, 2.868 and 11.562 Å, with angles of 90.00, 90.00 and 90.00 degrees. The distinct sites, in fractional coordinates, are K at (0.000, 0.000, 0.000), Mn at (0.000, 0.000, 0.262) and N at (0.000, 0.000, 0.747).

No. 2
Material: KMnN
Method: DFT, GGA-PBE
State: relaxed

Its energy above the most stable polymorph in this dataset is 0.63 eV/f.u. The calculation puts the uncorrected formation energy at 0.140 eV/atom. As for the density of states at the Fermi level: 1.4 states/eV/f.u.

The space group is P4/mmm (No. 123) and the conventional cell measures 4.315, 4.315 and 3.623 Å, with angles of 90.00, 90.00 and 90.00 degrees. The distinct sites, in fractional coordinates, are K at (0.000, 0.000, 0.000), Mn at (0.500, 0.500, 0.500) and N at (0.500, 0.500, 0.000).

No. 3
Material: KMn3N
Method: DFT, GGA-PBE
State: relaxed

Its energy above the most stable polymorph in this dataset is 12.42 eV/f.u. The calculation puts the uncorrected formation energy at 3.206 eV/atom. As for the density of states at the Fermi level: 3.0 states/eV/f.u.

The space group is Pm-3m (No. 221) and the conventional cell measures 4.879, 4.879 and 4.879 Å, with angles of 90.00, 90.00 and 90.00 degrees. The distinct sites, in fractional coordinates, are K at (0.000, 0.000, 0.000), Mn at (0.000, 0.000, 0.500) and N at (0.500, 0.500, 0.500).

No. 4
Material: KMn2N3
Method: DFT, GGA-PBE
State: relaxed

The calculation puts the uncorrected formation energy at -0.218 eV/atom. As for the density of states at the Fermi level: 4.1 states/eV/f.u.

The space group is Cmcm (No. 63) and the conventional cell measures 7.978, 10.417 and 4.807 Å, with angles of 90.00, 90.00 and 90.00 degrees. The distinct sites, in fractional coordinates, are K at (0.000, 0.183, 0.250), Mn at (0.153, 0.500, 0.000), N at (0.000, 0.421, 0.750) and N at (0.234, 0.086, 0.750).

No. 5
Material: K2MnN2
Method: DFT, GGA-PBE
State: relaxed

Its energy above the most stable polymorph in this dataset is 0.00 eV/f.u. The calculation puts the uncorrected formation energy at -0.224 eV/atom. As for the density of states at the Fermi level: 1.0 states/eV/f.u.

The space group is Pnma (No. 62) and the conventional cell measures 6.063, 5.509 and 12.194 Å, with angles of 90.00, 90.00 and 90.00 degrees. The distinct sites, in fractional coordinates, are K at (0.111, 0.250, 0.176), K at (0.212, 0.250, 0.532), Mn at (0.232, 0.250, 0.822), N at (0.017, 0.750, 0.251) and N at (0.229, 0.250, 0.955).

No. 6
Material: K2MnN4
Method: DFT, GGA-PBE
State: relaxed

The calculation puts the uncorrected formation energy at 0.442 eV/atom.

The space group is P2_1/c (No. 14) and the conventional cell measures 7.739, 6.447 and 12.510 Å, with angles of 90.00, 108.46 and 90.00 degrees. The distinct sites, in fractional coordinates, are K at (0.025, 0.226, 0.346), K at (0.423, 0.748, 0.594), Mn at (0.213, 0.246, 0.135), N at (0.013, 0.737, 0.934), N at (0.251, 0.030, 0.214), N at (0.274, 0.048, 0.721) and N at (0.330, 0.242, 0.043).

No. 7
Material: KNaMnN2
Method: DFT, GGA-PBE
State: relaxed

The calculation puts the uncorrected formation energy at -0.184 eV/atom. As for the density of states at the Fermi level: 1.9 states/eV/f.u.

The space group is C2/m (No. 12) and the conventional cell measures 18.143, 3.181 and 7.146 Å, with angles of 90.00, 96.83 and 90.00 degrees. The distinct sites, in fractional coordinates, are K at (0.103, 0.000, 0.135), Na at (0.161, 0.000, 0.597), Mn at (0.027, 0.500, 0.655), N at (0.047, 0.000, 0.765) and N at (0.069, 0.500, 0.439).

No. 8
Material: KNpMnN3
Method: DFT, GGA-PBE
State: relaxed

The calculation puts the uncorrected formation energy at -0.625 eV/atom. As for the density of states at the Fermi level: 6.1 states/eV/f.u.

The space group is P2_1/m (No. 11) and the conventional cell measures 7.800, 3.492 and 8.037 Å, with angles of 90.00, 105.71 and 90.00 degrees. The distinct sites, in fractional coordinates, are K at (0.200, 0.250, 0.216), Np at (0.342, 0.750, 0.842), Mn at (0.075, 0.250, 0.598), N at (0.158, 0.750, 0.555), N at (0.163, 0.250, 0.837) and N at (0.475, 0.750, 0.128).